Compound: MnS
Source: Alexandria via LeMat-Bulk
Functional: PBE
Structure: relaxed

Structure (extended XYZ):
```
8
Lattice="-2.762 -6.230 0.104 4.582 -2.108 -4.585 2.510 -1.063 2.997" Properties=species:S:1:pos:R:3 pbc="T T T"
Mn 1.500 -6.875 -3.694
S 3.210 -2.878 -3.709
S 2.505 -6.258 -1.578
S 1.825 -3.143 0.095
S -1.391 -5.461 -0.771
Mn 0.876 -5.424 0.082
Mn 3.454 -3.977 -1.565
Mn 0.319 -1.464 -0.787
```

The uncorrected formation energy is -0.46 eV per atom. The value obtained for the calculated total energy is -7.11 eV/atom. The calculation puts the size of the total moment at 2.492 μB/atom. The calculation puts the calculated density at 3.070 g cm⁻³.